# 1
TiBe2Si2 | PBE | optimized geometry

Output
- uncorrected formation energy (eV/atom) = -0.047
- crystal system = tetragonal
- D(E_F) (states/eV/cell) = 3.56
- total magnetization (μB/cell) = 0.0
- VASP energy (eV per formula unit) = -26.43
- space group = I4/mmm, No. 139

Structure (POSCAR):
```
TiBe2Si2
1.0
3.5324 0.0000 0.0000
0.0000 3.5324 0.0000
0.0000 0.0000 10.1686
Ti Be Si
2 4 4
Cartesian
0.0000 0.0000 0.0000
1.7662 1.7662 5.0843
0.0000 1.7662 2.5422
0.0000 1.7662 7.6265
1.7662 0.0000 2.5422
1.7662 0.0000 7.6265
0.0000 0.0000 3.9423
0.0000 0.0000 6.2263
1.7662 1.7662 1.1420
1.7662 1.7662 9.0267
```

=====

# 2
CaMgIr2 | PBE | optimized geometry

Output
- crystal system = tetragonal
- D(E_F) (states/eV/cell) = 3.61
- total magnetization (μB/cell) = 0.0
- VASP energy (eV per formula unit) = -21.80
- energy of formation (eV/f.u.) = -0.486
- space group = P4/mmm, No. 123

Structure (POSCAR):
```
CaMgIr2
1.0
2.9720 0.0000 0.0000
0.0000 2.9720 0.0000
0.0000 0.0000 7.8652
Ca Mg Ir
1 1 2
Cartesian
0.0000 0.0000 0.0000
0.0000 0.0000 3.9326
1.4860 1.4860 2.1539
1.4860 1.4860 5.7113
```

=====

# 3
CeNi6 | PBE | optimized geometry

Output
- crystal system = cubic
- D(E_F) (states/eV/cell) = 16.15
- total magnetization (μB/cell) = 5.3
- VASP energy (eV per formula unit) = -34.96
- energy of formation (eV/f.u.) = 5.659
- space group = Pm-3m, No. 221

Structure (POSCAR):
```
CeNi6
1.0
5.3148 0.0000 0.0000
0.0000 5.3148 0.0000
0.0000 0.0000 5.3148
Ce Ni
1 6
Cartesian
0.0000 0.0000 0.0000
1.0481 2.6574 2.6574
2.6574 1.0481 2.6574
2.6574 2.6574 1.0481
2.6574 2.6574 4.2667
2.6574 4.2667 2.6574
4.2667 2.6574 2.6574
```

=====

# 4
BaAlOs2 | PBE | optimized geometry

Output
- crystal system = tetragonal
- D(E_F) (states/eV/cell) = 6.37
- total magnetization (μB/cell) = 0.9
- VASP energy (eV per formula unit) = -23.20
- energy of formation (eV/f.u.) = 4.925
- space group = P4/mmm, No. 123

Structure (POSCAR):
```
BaAlOs2
1.0
4.6531 0.0000 0.0000
0.0000 4.6531 0.0000
0.0000 0.0000 3.5281
Ba Al Os
1 1 2
Cartesian
0.0000 0.0000 0.0000
2.3266 2.3266 0.0000
0.0000 2.3266 1.7641
2.3266 0.0000 1.7641
```